1.
# LiCo4Mo GGA-PBE relaxed
# - Raw total energy: -6.75 eV/atom
# - Density: 8.038 g/cm3
# - Magnetic moment: 0.0000 μB/atom
# - Energy relative to the elements: 0.11 eV per atom
# - Calculated volume: 279.82 Å³/cell
data_LiCo4Mo
_cell_length_a 6.541
_cell_length_b 6.541
_cell_length_c 6.541
_cell_angle_alpha 90.00
_cell_angle_beta 90.00
_cell_angle_gamma 90.00
_symmetry_space_group_name_H-M 'F -4 3 m'
_symmetry_Int_Tables_number 216
_symmetry_space_group_name_Hall 'F -4 2 3'
loop_
_atom_site_label
_atom_site_fract_x
_atom_site_fract_y
_atom_site_fract_z
Li1 0.000 0.000 0.000
Co1 0.126 0.126 0.374
Mo1 0.250 0.250 0.750

2.
# SrNbS2 GGA-PBE relaxed
# - Raw total energy: -5.95 eV/atom
# - ΔE_f (raw): -945 meV per atom
# - Density: 3.635 g/cm3
# - Distance to the lowest polymorph of the same formula: 0.00 kcal/mol of atoms
# - Magnetic moment: 0.3211 μB/atom
# - Calculated volume: 447.09 Å³/cell
data_SrNbS2
_cell_length_a 5.859
_cell_length_b 5.859
_cell_length_c 13.022
_cell_angle_alpha 90.00
_cell_angle_beta 90.00
_cell_angle_gamma 90.00
_symmetry_space_group_name_H-M 'I -4 2 d'
_symmetry_Int_Tables_number 122
_symmetry_space_group_name_Hall 'I -4 2bw'
loop_
_atom_site_label
_atom_site_fract_x
_atom_site_fract_y
_atom_site_fract_z
Sr1 0.000 0.000 0.000
Nb1 0.000 0.000 0.500
S1 0.173 0.250 0.625

3.
# TcSb2Te GGA-PBE relaxed
# - Raw total energy: -5.29 eV/atom
# - ΔE_f (raw): 145 meV per atom
# - Density: 8.155 g/cm3
# - Distance to the lowest polymorph of the same formula: 1.98 kcal/mol of atoms
# - Magnetic moment: 0.0000 μB/atom
# - Calculated volume: 286.59 Å³/cell
data_TcSb2Te
_cell_length_a 3.4244
_cell_length_b 3.4244
_cell_length_c 28.2203
_cell_angle_alpha 90.00
_cell_angle_beta 90.00
_cell_angle_gamma 120.00
_symmetry_space_group_name_H-M 'R 3 m'
_symmetry_Int_Tables_number 160
_symmetry_space_group_name_Hall 'R 3 -2"'
loop_
_atom_site_label
_atom_site_fract_x
_atom_site_fract_y
_atom_site_fract_z
Tc1 0.0000 0.0000 0.0000
Sb1 0.0000 0.0000 0.2644
Sb2 0.0000 0.0000 0.5064
Te1 0.0000 0.0000 0.7308

4.
# GaPS3 GGA-PBE relaxed
# - Raw total energy: -3.38 eV/atom
# - ΔE_f (raw): 782 meV per atom
# - Density: 3.295 g/cm3
# - Magnetic moment: 0.0000 μB/atom
# - Calculated volume: 99.21 Å³/cell
data_GaPS3
_cell_length_a 4.629
_cell_length_b 4.629
_cell_length_c 4.629
_cell_angle_alpha 90.00
_cell_angle_beta 90.00
_cell_angle_gamma 90.00
_symmetry_space_group_name_H-M 'P m -3 m'
_symmetry_Int_Tables_number 221
_symmetry_space_group_name_Hall '-P 4 2 3'
loop_
_atom_site_label
_atom_site_fract_x
_atom_site_fract_y
_atom_site_fract_z
Ga1 0.000 0.000 0.000
P1 0.500 0.500 0.500
S1 0.000 0.000 0.500

5.
# La2H2Ru GGA-PBE relaxed
# - Raw total energy: -5.55 eV/atom
# - Density: 7.140 g/cm3
# - Distance to the lowest polymorph of the same formula: 0.00 kcal/mol of atoms
# - Magnetic moment: 0.0000 μB/atom
# - Calculated volume: 177.16 Å³/cell
data_La2H2Ru
_cell_length_a 3.634
_cell_length_b 3.634
_cell_length_c 13.417
_cell_angle_alpha 90.00
_cell_angle_beta 90.00
_cell_angle_gamma 90.00
_symmetry_space_group_name_H-M 'I 4/m m m'
_symmetry_Int_Tables_number 139
_symmetry_space_group_name_Hall '-I 4 2'
loop_
_atom_site_label
_atom_site_fract_x
_atom_site_fract_y
_atom_site_fract_z
La1 0.000 0.000 0.130
H1 0.000 0.500 0.250
Ru1 0.000 0.000 0.500

6.
# K2ZrOs GGA-PBE relaxed
# - Raw total energy: -4.31 eV/atom
# - Density: 6.203 g/cm3
# - Distance to the lowest polymorph of the same formula: 17.61 kcal/mol of atoms
# - Magnetic moment: 0.0412 μB/atom
# - Energy relative to the elements: 1.18 eV per atom
# - Calculated volume: 288.83 Å³/cell
data_K2ZrOs
_cell_length_a 2.9559
_cell_length_b 2.9559
_cell_length_c 38.1702
_cell_angle_alpha 90.00
_cell_angle_beta 90.00
_cell_angle_gamma 120.00
_symmetry_space_group_name_H-M 'R -3 m'
_symmetry_Int_Tables_number 166
_symmetry_space_group_name_Hall '-R 3 2"'
loop_
_atom_site_label
_atom_site_fract_x
_atom_site_fract_y
_atom_site_fract_z
K1 0.0000 0.0000 0.2398
Zr1 0.0000 0.0000 0.0000
Os1 0.0000 0.0000 0.5000

7.
# NaAs2PtCl GGA-PBE relaxed
# - Raw total energy: -2.66 eV/atom
# - ΔE_f (raw): 1043 meV per atom
# - Density: 5.698 g/cm3
# - Magnetic moment: 0.0000 μB/atom
# - Calculated volume: 117.56 Å³/cell
data_NaAs2PtCl
_cell_length_a 5.070
_cell_length_b 5.070
_cell_length_c 4.574
_cell_angle_alpha 90.00
_cell_angle_beta 90.00
_cell_angle_gamma 90.00
_symmetry_space_group_name_H-M 'P 4/m m m'
_symmetry_Int_Tables_number 123
_symmetry_space_group_name_Hall '-P 4 2'
loop_
_atom_site_label
_atom_site_fract_x
_atom_site_fract_y
_atom_site_fract_z
Na1 0.000 0.000 0.000
As1 0.000 0.500 0.000
Pt1 0.500 0.500 0.500
Cl1 0.000 0.000 0.500

8.
# PaTa2TlO7 GGA-PBE relaxed
# - Raw total energy: -8.96 eV/atom
# - ΔE_f (raw): -2573 meV per atom
# - Density: 8.817 g/cm3
# - Magnetic moment: 0.1278 μB/atom
# - Calculated volume: 171.26 Å³/cell
data_PaTa2TlO7
_cell_length_a 3.902
_cell_length_b 3.902
_cell_length_c 11.250
_cell_angle_alpha 90.00
_cell_angle_beta 90.00
_cell_angle_gamma 90.00
_symmetry_space_group_name_H-M 'P 4/m m m'
_symmetry_Int_Tables_number 123
_symmetry_space_group_name_Hall '-P 4 2'
loop_
_atom_site_label
_atom_site_fract_x
_atom_site_fract_y
_atom_site_fract_z
Pa1 0.000 0.000 0.000
Ta1 0.500 0.500 0.198
Tl1 0.000 0.000 0.500
O1 0.000 0.500 0.154
O2 0.500 0.500 0.000
O3 0.500 0.500 0.359